## CsCu2F8 (PBE-GGA)

Data for a geometry-optimized CsCu2F8 structure.

energy relative to the lowest polymorph listed for this composition	0.0000	eV/atom

Unit cell a=5.988 b=5.988 c=6.232 alpha=94.13 beta=94.13 gamma=60.49
Sites, in units of the cell vectors:
Cs1 0.000 0.000 0.000
Cu1 0.264 0.264 0.504
Cu2 0.736 0.736 0.496
F1 0.107 0.637 0.537
F2 0.252 0.252 0.786
F3 0.283 0.283 0.224
F4 0.363 0.893 0.463
F5 0.637 0.107 0.537
F6 0.717 0.717 0.776
F7 0.748 0.748 0.214
F8 0.893 0.363 0.463


## BaNbC3 (PBE-GGA)

Data for a geometry-optimized BaNbC3 structure.

energy relative to the lowest polymorph listed for this composition	2.5769	eV/atom
calculated formation energy	3632.6	meV/atom

Unit cell a=4.446 b=4.446 c=4.446 alpha=90.00 beta=90.00 gamma=90.00
Sites, in units of the cell vectors:
Ba1 0.000 0.000 0.000
Nb1 0.500 0.500 0.500
C1 0.000 0.000 0.500
C2 0.000 0.500 0.000
C3 0.500 0.000 0.000


## DyMgAg (PBE-GGA)

Data for a geometry-optimized DyMgAg structure.

calculated formation energy	-169.8	meV/atom

Unit cell a=3.468 b=11.660 c=3.466 alpha=90.00 beta=90.00 gamma=90.00
Sites, in units of the cell vectors:
Dy1 0.000 0.112 0.000
Dy2 0.500 0.888 0.500
Mg1 0.000 0.414 0.997
Mg2 0.500 0.586 0.497
Ag1 0.000 0.714 0.999
Ag2 0.500 0.286 0.499